# 1
LaWCl2: optimized geometry, PBE.

Summary:
The value obtained for the formation energy without anion corrections is 281 meV/atom.

Cell: 7.428 7.428 7.428 Å, 90.00 90.00 90.00°
Space group F-43m (No. 216)
Unique sites:
La1 0.000 0.000 0.000 [4 per cell]
W1 0.250 0.250 0.250 [4 per cell]
Cl1 0.000 0.000 0.500 [4 per cell]
Cl2 0.250 0.250 0.750 [4 per cell]

# 2
La2WCl2: optimized geometry, PBE.

Summary:
The value obtained for the formation energy without anion corrections is -468 meV/atom.

Cell: 5.681 5.681 7.780 Å, 90.00 90.00 90.00°
Space group I4/mmm (No. 139)
Unique sites:
La1 0.000 0.500 0.250 [4 per cell]
W1 0.000 0.000 0.000 [2 per cell]
Cl1 0.000 0.000 0.310 [4 per cell]

# 3
LaWCl2: optimized geometry, PBE.

Summary:
The value obtained for the formation energy without anion corrections is -206 meV/atom.

Cell: 4.140 4.209 5.026 Å, 90.00 94.65 90.00°
Space group P2/m (No. 10)
Unique sites:
La1 0.000 0.000 0.000 [1 per cell]
W1 0.500 0.000 0.500 [1 per cell]
Cl1 0.302 0.500 0.711 [2 per cell]

# 4
LaWCl2: optimized geometry, PBE.

Summary:
The value obtained for the formation energy without anion corrections is 146 meV/atom.

Cell: 4.696 4.696 8.427 Å, 90.00 90.00 90.00°
Space group I4/mmm (No. 139)
Unique sites:
La1 0.000 0.000 0.000 [2 per cell]
W1 0.000 0.000 0.500 [2 per cell]
Cl1 0.000 0.500 0.250 [4 per cell]

# 5
LaWCl2: optimized geometry, PBE.

Summary:
The value obtained for the formation energy without anion corrections is -356 meV/atom.

Cell: 13.550 3.532 5.007 Å, 90.00 90.83 90.00°
Space group C2/m (No. 12)
Unique sites:
La1 0.000 0.000 0.000 [2 per cell]
W1 0.000 0.500 0.500 [2 per cell]
Cl1 0.152 0.500 0.761 [4 per cell]

# 6
LaWCl2: optimized geometry, PBE.

Summary:
The value obtained for the formation energy without anion corrections is -64 meV/atom.

Cell: 3.251 4.303 14.754 Å, 90.00 90.00 90.00°
Space group Imm2 (No. 44)
Unique sites:
La1 0.000 0.000 0.000 [2 per cell]
W1 0.000 0.500 0.664 [2 per cell]
Cl1 0.000 0.000 0.407 [2 per cell]
Cl2 0.000 0.500 0.155 [2 per cell]

# 7
La2WCl2: optimized geometry, PBE.

Summary:
The value obtained for the formation energy without anion corrections is -383 meV/atom.

Cell: 8.440 8.440 3.342 Å, 90.00 90.00 90.00°
Space group P4/mbm (No. 127)
Unique sites:
La1 0.184 0.316 0.000 [4 per cell]
W1 0.000 0.000 0.500 [2 per cell]
Cl1 0.120 0.620 0.500 [4 per cell]

# 8
La2WCl: optimized geometry, PBE.

Summary:
The value obtained for the formation energy without anion corrections is 208 meV/atom.

Cell: 4.152 4.152 11.575 Å, 90.00 90.00 90.00°
Space group I-4m2 (No. 119)
Unique sites:
La1 0.000 0.000 0.000 [2 per cell]
La2 0.000 0.500 0.250 [2 per cell]
W1 0.000 0.500 0.750 [2 per cell]
Cl1 0.000 0.000 0.500 [2 per cell]

no.,total DFT energy (no corrections) (eV/cell),theoretical density (Mg/m³),relative energy among the computed polymorphs (eV per formula unit)
1,-81.8,6.38,2.56
2,-57.7,7.04,0.00
3,-22.4,7.49,0.61
4,-42.0,7.03,2.02
5,-46.0,5.46,0.01
6,-43.7,6.33,1.18
7,-56.8,7.43,0.42
8,-47.6,8.27,2.22